# 1
! LaSc2In (meta-GGA SCAN, PBEsol geometry); values from VASP
&SYSTEM
  ibrav = 0, nat = 4, ntyp = 3
/
ATOMIC_SPECIES
La 138.91 La.upf
Sc 44.96 Sc.upf
In 114.82 In.upf
ATOMIC_POSITIONS crystal
La 0.0000 0.0000 0.0000
Sc 0.0940 0.0940 0.0940
Sc 0.9060 0.9060 0.9060
In 0.5000 0.5000 0.5000
CELL_PARAMETERS angstrom
1.6256 0.9385 11.0620
-1.6256 0.9385 11.0620
0.0000 -1.8770 11.0620
! Magnetic moment   0.0 μB per cell
! VASP energy   -26.24 eV per atom


# 2
! La2ScIn (meta-GGA SCAN, PBEsol geometry); values from VASP
&SYSTEM
  ibrav = 0, nat = 4, ntyp = 3
/
ATOMIC_SPECIES
La 138.91 La.upf
Sc 44.96 Sc.upf
In 114.82 In.upf
ATOMIC_POSITIONS crystal
La 0.0000 0.0000 0.0000
La 0.5000 0.5000 0.2938
Sc 0.0000 0.0000 0.5483
In 0.5000 0.5000 0.7412
CELL_PARAMETERS angstrom
3.5561 0.0000 0.0000
0.0000 3.5561 0.0000
0.0000 0.0000 8.7934
! Magnetic moment   0.2 μB per cell
! VASP energy   -33.75 eV per atom


# 3
! La2ScIn (meta-GGA SCAN, PBEsol geometry); values from VASP
&SYSTEM
  ibrav = 0, nat = 4, ntyp = 3
/
ATOMIC_SPECIES
La 138.91 La.upf
Sc 44.96 Sc.upf
In 114.82 In.upf
ATOMIC_POSITIONS crystal
La 0.0000 0.0000 0.0000
La 0.3163 0.5000 0.6399
Sc 0.5932 0.5000 0.1878
In 0.7206 0.0000 0.4456
CELL_PARAMETERS angstrom
3.5277 0.0000 0.0000
0.0000 5.1468 0.0000
-1.7327 0.0000 6.4364
! Magnetic moment   0.3 μB per cell
! VASP energy   -33.77 eV per atom


# 4
! La2ScIn (meta-GGA SCAN, PBEsol geometry); values from VASP
&SYSTEM
  ibrav = 0, nat = 4, ntyp = 3
/
ATOMIC_SPECIES
La 138.91 La.upf
Sc 44.96 Sc.upf
In 114.82 In.upf
ATOMIC_POSITIONS crystal
La 0.0000 0.0000 0.0000
La 0.2408 0.2408 0.2408
Sc 0.7508 0.7508 0.7508
In 0.4901 0.4901 0.4901
CELL_PARAMETERS angstrom
1.7350 1.0017 10.8256
-1.7350 1.0017 10.8256
0.0000 -2.0034 10.8256
! Magnetic moment   0.2 μB per cell
! VASP energy   -33.59 eV per atom


# 5
! LaSc2In2 (meta-GGA SCAN, PBEsol geometry); values from VASP
&SYSTEM
  ibrav = 0, nat = 10, ntyp = 3
/
ATOMIC_SPECIES
La 138.91 La.upf
Sc 44.96 Sc.upf
In 114.82 In.upf
ATOMIC_POSITIONS crystal
La 0.0000 0.0000 0.0000
La 0.5000 0.5000 0.0000
Sc 0.1226 0.3774 0.0000
Sc 0.3774 0.8774 0.0000
Sc 0.6226 0.1226 0.0000
Sc 0.8774 0.6226 0.0000
In 0.1737 0.6737 0.5000
In 0.3263 0.1737 0.5000
In 0.6737 0.8263 0.5000
In 0.8263 0.3263 0.5000
CELL_PARAMETERS angstrom
8.7430 0.0000 0.0000
0.0000 8.7430 0.0000
0.0000 0.0000 3.1801
! Magnetic moment   0.1 μB per cell
! VASP energy   -28.18 eV per atom


# 6
! La2ScIn (meta-GGA SCAN, PBEsol geometry); values from VASP
&SYSTEM
  ibrav = 0, nat = 4, ntyp = 3
/
ATOMIC_SPECIES
La 138.91 La.upf
Sc 44.96 Sc.upf
In 114.82 In.upf
ATOMIC_POSITIONS crystal
La 0.2500 0.7500 0.5000
La 0.7500 0.2500 0.5000
Sc 0.0000 0.0000 0.0000
In 0.5000 0.5000 0.0000
CELL_PARAMETERS angstrom
-2.3606 2.3606 4.9756
2.3606 -2.3606 4.9756
2.3606 2.3606 -4.9756
! Magnetic moment   0.0 μB per cell
! VASP energy   -33.80 eV per atom


# 7
! La2InSe2 (meta-GGA SCAN, PBEsol geometry); values from VASP
&SYSTEM
  ibrav = 0, nat = 5, ntyp = 3
/
ATOMIC_SPECIES
La 138.91 La.upf
In 114.82 In.upf
Se 78.96 Se.upf
ATOMIC_POSITIONS crystal
La 0.2500 0.7500 0.5000
La 0.7500 0.2500 0.5000
In 0.0000 0.0000 0.0000
Se 0.3243 0.3243 0.0000
Se 0.6757 0.6757 0.0000
CELL_PARAMETERS angstrom
-2.8606 2.8606 4.6166
2.8606 -2.8606 4.6166
2.8606 2.8606 -4.6166
! Magnetic moment   0.8 μB per cell
! VASP energy   -33.28 eV per atom


# 8
! LaInSe2 (meta-GGA SCAN, PBEsol geometry); values from VASP
&SYSTEM
  ibrav = 0, nat = 4, ntyp = 3
/
ATOMIC_SPECIES
La 138.91 La.upf
In 114.82 In.upf
Se 78.96 Se.upf
ATOMIC_POSITIONS crystal
La 0.0000 0.0000 0.0000
In 0.5000 0.7883 0.7883
Se 0.0000 0.2858 0.2858
Se 0.5000 0.5528 0.5528
CELL_PARAMETERS angstrom
4.4081 0.0000 0.0000
0.0000 2.0554 5.6047
0.0000 -2.0554 5.6047
! Magnetic moment   0.0 μB per cell
! VASP energy   -30.71 eV per atom